Below is crystalline VB3Mo at its relaxed geometry, with properties calculated at the PBE level.

Summary:
- electronic total energy (eV/atom) = -6.79
- total moment (μB/cell) = 2.102
- energy relative to the elements (meV per atom) = 1204
- energy relative to the lowest polymorph listed for this composition (kcal/mol of atoms) = 40.54
- symmetry = Pm-3m (221)
- Fermi-level density of states (states/eV per cell) = 2.68

Unit cell a=4.056 b=4.056 c=4.056 alpha=90.00 beta=90.00 gamma=90.00
Sites, in units of the cell vectors:
V 0.000 0.000 0.000
B 0.000 0.500 0.500
B 0.500 0.000 0.500
B 0.500 0.500 0.000
Mo 0.500 0.500 0.500



Below is crystalline LiMg2AsPb at its relaxed geometry, with properties calculated at the PBE level.

Summary:
- electronic total energy (eV/atom) = -2.86
- total moment (μB/cell) = 0.000
- energy relative to the elements (meV per atom) = -168
- symmetry = P4/mmm (123)
- Fermi-level density of states (states/eV per cell) = 2.82

Unit cell a=5.102 b=5.102 c=4.801 alpha=90.00 beta=90.00 gamma=90.00
Sites, in units of the cell vectors:
Li 0.000 0.000 0.000
Mg 0.000 0.500 0.500
Mg 0.500 0.000 0.500
As 0.000 0.000 0.500
Pb 0.500 0.500 0.000



Below is crystalline Ca3CdBi3 at its relaxed geometry, with properties calculated at the PBE level.

Summary:
- electronic total energy (eV/atom) = -3.18
- total moment (μB/cell) = 0.000
- energy relative to the elements (meV per atom) = -527
- symmetry = P6_3/m (176)
- Fermi-level density of states (states/eV per cell) = 16.71

Unit cell a=9.635 b=9.635 c=6.515 alpha=90.00 beta=90.00 gamma=120.00
Sites, in units of the cell vectors:
Ca 0.040 0.355 0.250
Ca 0.315 0.960 0.250
Ca 0.355 0.315 0.750
Ca 0.645 0.685 0.250
Ca 0.685 0.040 0.750
Ca 0.960 0.645 0.750
Cd 0.333 0.667 0.750
Cd 0.667 0.333 0.250
Bi 0.039 0.352 0.750
Bi 0.312 0.961 0.750
Bi 0.352 0.312 0.250
Bi 0.648 0.688 0.750
Bi 0.688 0.039 0.250
Bi 0.961 0.648 0.250



> Look up the energy relative to the elements of the third one.

-527 meV per atom